Below is a geometry-optimized MgZn4Ag7 structure, with properties calculated at the GGA-PBE level.

Symmetry   C2/m (12)
Energy above the lowest structure with this stoichiometry   1.81 eV per formula unit
Energy of formation from the pure elements   85.8 meV/atom
Crystal system   monoclinic

```
MgZn4Ag7
1.0
-4.481 -0.840 1.994
0.955 -6.802 5.489
-1.025 2.714 5.050
Mg Zn Ag
1 4 7
direct
0.000 0.000 0.000
0.576 0.224 0.625
0.424 0.776 0.375
0.716 0.686 0.883
0.284 0.314 0.117
0.792 0.910 0.506
0.208 0.090 0.494
0.049 0.620 0.283
0.951 0.380 0.717
0.346 0.555 0.753
0.500 0.000 0.000
0.654 0.445 0.247
```


Below is a geometry-optimized Ac2HoIn4Ag3 structure, with properties calculated at the GGA-PBE level.

Symmetry   P-4m2 (115)
Energy of formation from the pure elements   -326.7 meV/atom
Crystal system   tetragonal

```
Ac2HoIn4Ag3
1.0
-2.655 3.667 0.995
-1.941 -2.352 3.491
9.023 4.372 7.964
Ac Ho In Ag
2 1 4 3
direct
0.500 0.000 0.235
0.000 0.500 0.765
0.500 0.500 0.500
0.500 0.500 0.000
0.000 0.000 0.000
0.500 0.000 0.654
0.000 0.500 0.346
0.000 0.000 0.500
0.500 0.000 0.868
0.000 0.500 0.132
```


Below is a geometry-optimized CeGdGa2 structure, with properties calculated at the GGA-PBE level.

Symmetry   R-3m (166)
Energy above the lowest structure with this stoichiometry   0.84 eV per formula unit
Energy of formation from the pure elements   -315.3 meV/atom
Crystal system   trigonal

```
CeGdGa2
1.0
-2.684 2.434 0.030
-3.148 -0.754 -1.628
-5.081 -2.995 7.181
Gd Ga Ce
1 2 1
direct
0.000 0.000 0.000
0.749 0.749 0.753
0.251 0.251 0.247
0.500 0.500 0.500
```


Below is a geometry-optimized Er2AsSe structure, with properties calculated at the GGA-PBE level.

Symmetry   Pmmn (59)
Energy above the lowest structure with this stoichiometry   0.00 eV per formula unit
Crystal system   orthorhombic

```
Er2AsSe
1.0
-2.440 3.238 -0.237
-0.302 -0.644 -5.689
-6.499 -4.833 0.893
Er As Se
4 2 2
direct
0.000 0.000 0.863
0.000 0.000 0.384
0.500 0.500 0.616
0.500 0.500 0.137
0.500 0.000 0.626
0.000 0.500 0.374
0.000 0.500 0.878
0.500 0.000 0.122
```


Below is a geometry-optimized Ac6AlNi2 structure, with properties calculated at the GGA-PBE level.

Symmetry   Immm (71)
Energy of formation from the pure elements   -160.7 meV/atom
Crystal system   orthorhombic

```
Ac6AlNi2
1.0
-4.656 4.041 6.828
-4.108 -7.463 -3.472
8.085 -2.894 3.299
Ac Al Ni
12 2 4
direct
0.535 0.709 0.826
0.465 0.291 0.174
0.117 0.291 0.826
0.883 0.709 0.174
0.811 0.765 0.576
0.189 0.235 0.424
0.189 0.765 0.953
0.811 0.235 0.047
0.684 0.352 0.667
0.316 0.648 0.333
0.316 0.983 0.667
0.684 0.017 0.333
0.000 0.500 0.500
0.000 0.000 0.000
0.500 0.376 0.876
0.500 0.624 0.124
0.703 0.000 0.703
0.297 0.000 0.297
```


Below is a geometry-optimized SrCrIrRh2 structure, with properties calculated at the GGA-PBE level.

Symmetry   P4/mmm (123)
Energy above the lowest structure with this stoichiometry   0.00 eV per formula unit
Energy of formation from the pure elements   300.5 meV/atom
Crystal system   tetragonal

```
SrCrIrRh2
1.0
4.602 0.000 0.000
0.000 4.600 0.000
0.000 0.000 4.602
Sr Ir Rh Cr
1 1 2 1
direct
0.500 0.500 0.500
0.000 0.500 0.000
0.000 0.000 0.500
0.500 0.000 0.000
0.000 0.000 0.000
```


Below is a geometry-optimized Ca2ScTc structure, with properties calculated at the GGA-PBE level.

Symmetry   Cm (8)
Energy above the lowest structure with this stoichiometry   0.79 eV per formula unit
Energy of formation from the pure elements   323.5 meV/atom
Crystal system   monoclinic

```
Ca2ScTc
1.0
4.647 0.000 -0.018
3.419 3.147 -0.018
0.829 0.323 7.699
Sc Ca Tc
1 2 1
direct
0.520 0.520 0.418
0.975 0.975 0.070
0.757 0.757 0.690
0.248 0.248 0.323
```


Below is a geometry-optimized Ac3MgAg2 structure, with properties calculated at the GGA-PBE level.

Symmetry   P4/mmm (123)
Energy of formation from the pure elements   -201.5 meV/atom
Crystal system   tetragonal

```
Ac3MgAg2
1.0
4.013 0.000 0.000
0.000 4.013 0.000
0.000 0.000 12.020
Ac Mg Ag
3 1 2
direct
0.000 0.000 0.000
0.000 0.000 0.675
0.000 0.000 0.325
0.500 0.500 0.500
0.500 0.500 0.834
0.500 0.500 0.166
```


Below is a geometry-optimized BaBe2Te structure, with properties calculated at the GGA-PBE level.

Symmetry   P4/mmm (123)
Raw total energy   -2.639 eV per atom
Crystal system   tetragonal

```
BaBe2Te
1.0
4.684 0.000 0.000
0.000 4.689 0.000
0.000 0.000 4.726
Be Te Ba
2 1 1
direct
0.000 0.000 0.000
0.500 0.500 0.000
0.500 0.000 0.500
0.000 0.500 0.500
```


Below is a geometry-optimized Li4YGa2 structure, with properties calculated at the GGA-PBE level.

Symmetry   P4_2/mnm (136)
Energy of formation from the pure elements   -264.8 meV/atom
Crystal system   tetragonal

```
Li4YGa2
1.0
-3.765 -2.347 -0.810
2.085 -0.847 -7.242
3.617 -6.421 1.792
Li Y Ga
8 2 4
direct
0.000 0.101 0.352
0.000 0.899 0.648
0.500 0.148 0.601
0.500 0.852 0.399
0.500 0.399 0.852
0.500 0.601 0.148
0.000 0.352 0.101
0.000 0.648 0.899
0.500 0.000 0.000
0.000 0.500 0.500
0.000 0.211 0.789
0.000 0.789 0.211
0.500 0.711 0.711
0.500 0.289 0.289
```


Below is a geometry-optimized Zr3TcSb structure, with properties calculated at the GGA-PBE level.

Symmetry   Pm-3m (221)
Energy above the lowest structure with this stoichiometry   0.00 eV per formula unit
Crystal system   cubic

```
Zr3TcSb
1.0
5.010 0.000 0.000
0.000 5.010 0.000
0.000 0.000 5.010
Sb Tc Zr
1 1 3
direct
0.500 0.500 0.500
0.000 0.000 0.000
0.000 0.500 0.000
0.000 0.000 0.500
0.500 0.000 0.000
```


Below is a geometry-optimized CsBH3 structure, with properties calculated at the GGA-PBE level.

Symmetry   P2_1/c (14)
Energy above the lowest structure with this stoichiometry   0.06 eV per formula unit
Crystal system   monoclinic

```
CsBH3
1.0
-5.651 -0.986 3.037
-0.612 -6.807 -3.351
3.592 0.086 6.712
Cs B H
4 4 12
direct
0.750 0.624 0.376
0.250 0.376 0.624
0.250 0.876 0.124
0.750 0.124 0.876
0.232 0.372 0.128
0.768 0.628 0.872
0.732 0.128 0.372
0.268 0.872 0.628
0.123 0.296 0.204
0.877 0.704 0.796
0.623 0.204 0.296
0.377 0.796 0.704
0.083 0.863 0.636
0.917 0.137 0.364
0.583 0.637 0.864
0.417 0.363 0.136
0.650 0.043 0.456
0.350 0.957 0.544
0.150 0.457 0.044
0.850 0.543 0.956
```


Below is a geometry-optimized CaAl4Zn structure, with properties calculated at the GGA-PBE level.

Symmetry   F-43m (216)
Energy of formation from the pure elements   -31.8 meV/atom
Crystal system   cubic

```
CaAl4Zn
1.0
0.000 3.911 3.911
3.911 0.000 3.911
3.911 3.911 0.000
Ca Al Zn
1 4 1
direct
0.750 0.750 0.750
0.875 0.375 0.375
0.375 0.375 0.875
0.375 0.875 0.375
0.375 0.375 0.375
0.000 0.000 0.000
```


Below is a geometry-optimized BaNaHg2Au structure, with properties calculated at the GGA-PBE level.

Symmetry   Imm2 (44)
Energy above the lowest structure with this stoichiometry   0.00 eV per formula unit
Energy of formation from the pure elements   -450.9 meV/atom
Crystal system   orthorhombic

```
BaNaHg2Au
1.0
4.414 0.000 0.000
0.000 4.638 0.000
-2.207 -2.319 7.191
Ba Na Hg Au
1 1 2 1
direct
0.426 0.426 0.852
0.193 0.693 0.385
0.705 0.205 0.410
0.048 0.048 0.096
0.840 0.840 0.681
```


Below is a geometry-optimized Pm3Mg4Zn4 structure, with properties calculated at the GGA-PBE level.

Symmetry   Immm (71)
Energy of formation from the pure elements   -208.3 meV/atom
Crystal system   orthorhombic

```
Pm3Mg4Zn4
1.0
4.036 0.000 -1.004
-0.978 6.962 -3.932
0.072 0.378 8.902
Pm Mg Zn
3 4 4
direct
0.115 0.115 0.230
0.885 0.885 0.770
0.000 0.500 0.000
0.328 0.138 0.655
0.672 0.482 0.345
0.672 0.862 0.345
0.328 0.518 0.655
0.233 0.733 0.466
0.767 0.267 0.534
0.500 0.805 0.000
0.500 0.195 0.000
```


Below is a geometry-optimized Er6AgOs structure, with properties calculated at the GGA-PBE level.

Symmetry   I4/mmm (139)
Energy of formation from the pure elements   -120.3 meV/atom
Crystal system   tetragonal

```
Er6AgOs
1.0
-3.884 2.295 2.046
-2.988 -2.040 -3.383
-4.691 -6.587 4.489
Er Ag Os
6 1 1
direct
0.753 0.753 0.495
0.598 0.098 0.804
0.098 0.598 0.804
0.402 0.902 0.196
0.247 0.247 0.505
0.902 0.402 0.196
0.500 0.500 0.000
0.000 0.000 0.000
```


Below is a geometry-optimized Tl9InPb4 structure, with properties calculated at the GGA-PBE level.

Symmetry   P6_3/mmc (194)
Energy of formation from the pure elements   48.1 meV/atom
Crystal system   hexagonal

```
Tl9InPb4
1.0
10.713 0.000 0.000
0.000 8.598 -4.964
0.000 0.000 9.928
Tl In Pb
18 2 8
direct
0.039 0.797 0.593
0.039 0.797 0.203
0.039 0.407 0.203
0.961 0.203 0.407
0.961 0.203 0.797
0.961 0.593 0.797
0.539 0.203 0.407
0.539 0.203 0.797
0.539 0.593 0.797
0.461 0.797 0.593
0.461 0.797 0.203
0.461 0.407 0.203
0.250 0.465 0.931
0.250 0.465 0.535
0.250 0.069 0.535
0.750 0.535 0.069
0.750 0.535 0.465
0.750 0.931 0.465
0.250 0.667 0.333
0.750 0.333 0.667
0.250 0.116 0.231
0.250 0.116 0.884
0.250 0.769 0.884
0.750 0.884 0.769
0.750 0.884 0.116
0.750 0.231 0.116
0.000 0.000 0.000
0.500 0.000 0.000
```


Below is a geometry-optimized TiCu5Pt6 structure, with properties calculated at the GGA-PBE level.

Symmetry   Cmmm (65)
Energy of formation from the pure elements   -394.0 meV/atom
Crystal system   orthorhombic

```
TiCu5Pt6
1.0
-1.440 2.212 -2.927
-2.217 -6.029 -3.465
-5.907 1.414 1.320
Pt Cu Ti
6 5 1
direct
0.833 0.748 0.334
0.833 0.252 0.334
0.500 0.243 0.000
0.500 0.757 0.000
0.167 0.748 0.666
0.167 0.252 0.666
0.663 0.500 0.675
0.330 0.000 0.340
0.000 0.500 0.000
0.670 0.000 0.660
0.337 0.500 0.325
0.000 0.000 0.000
```


Below is a geometry-optimized Pm2PrCu2Sn2 structure, with properties calculated at the GGA-PBE level.

Symmetry   R-3m (166)
Energy of formation from the pure elements   -416.9 meV/atom
Crystal system   trigonal

```
Pm2PrCu2Sn2
1.0
4.624 0.000 0.000
2.312 4.005 0.000
2.312 1.335 9.580
Pm Pr Cu Sn
2 1 2 2
direct
0.130 0.130 0.611
0.870 0.870 0.389
0.000 0.000 0.000
0.589 0.589 0.232
0.411 0.411 0.768
0.736 0.736 0.791
0.264 0.264 0.209
```


Below is a geometry-optimized PmTl2Ag structure, with properties calculated at the GGA-PBE level.

Symmetry   I4/mmm (139)
Energy above the lowest structure with this stoichiometry   0.00 eV per formula unit
Energy of formation from the pure elements   -270.3 meV/atom
Crystal system   tetragonal

```
PmTl2Ag
1.0
4.665 0.000 -1.294
-0.359 4.651 -1.294
0.092 0.100 9.389
Pm Tl Ag
2 4 2
direct
0.132 0.132 0.264
0.868 0.868 0.736
0.000 0.500 0.000
0.500 0.000 0.000
0.354 0.354 0.708
0.646 0.646 0.292
0.250 0.750 0.500
0.750 0.250 0.500
```


Below is a geometry-optimized DyZnCo2 structure, with properties calculated at the GGA-PBE level.

Symmetry   Pmma (51)
Energy of formation from the pure elements   -239.8 meV/atom
Crystal system   orthorhombic

```
DyZnCo2
1.0
3.943 0.000 0.000
0.000 4.883 0.000
0.000 0.000 6.790
Dy Zn Co
2 2 4
direct
0.000 0.250 0.695
0.000 0.750 0.305
0.500 0.750 0.660
0.500 0.250 0.340
0.000 0.750 0.907
0.000 0.250 0.093
0.500 0.000 0.000
0.500 0.500 0.000
```


Below is a geometry-optimized Hf2ZnAu8 structure, with properties calculated at the GGA-PBE level.

Symmetry   C2/m (12)
Energy of formation from the pure elements   -342.5 meV/atom
Crystal system   monoclinic

```
Hf2ZnAu8
1.0
4.755 0.000 0.000
0.000 6.629 -0.136
-2.377 -3.168 6.531
Hf Zn Au
2 1 8
direct
0.801 0.302 0.601
0.199 0.698 0.399
0.500 0.000 0.000
0.366 0.581 0.732
0.636 0.851 0.271
0.831 0.830 0.662
0.999 0.284 0.998
0.169 0.170 0.338
0.364 0.149 0.729
0.634 0.419 0.268
0.001 0.716 0.002
```


Below is a geometry-optimized V2FeSbH structure, with properties calculated at the GGA-PBE level.

Symmetry   P4/mmm (123)
Energy above the lowest structure with this stoichiometry   0.00 eV per formula unit
Crystal system   tetragonal

```
V2FeSbH
1.0
3.823 0.000 0.000
0.000 3.823 0.000
0.000 0.000 4.084
Sb Fe H V
1 1 1 2
direct
0.500 0.500 0.500
0.000 0.000 0.500
0.000 0.000 0.000
0.000 0.500 0.000
0.500 0.000 0.000
```


Number 1: Fermi-level density of states 0.287 states/eV per atom. Number 2: Fermi-level density of states 0.625 states/eV per atom. Number 3: Fermi-level density of states 1.584 states/eV per atom. Number 4: Fermi-level density of states 0.259 states/eV per atom. Number 5: Fermi-level density of states 0.880 states/eV per atom. Number 6: Fermi-level density of states 0.780 states/eV per atom. Number 7: Fermi-level density of states 0.883 states/eV per atom. Number 8: Fermi-level density of states 0.786 states/eV per atom. Number 9: Fermi-level density of states 0.269 states/eV per atom. Number 10: Fermi-level density of states 0.503 states/eV per atom. Number 11: Fermi-level density of states 1.579 states/eV per atom. Number 12: Fermi-level density of states 0.191 states/eV per atom. Number 13: Fermi-level density of states 0.455 states/eV per atom. Number 14: Fermi-level density of states 0.372 states/eV per atom. Number 15: Fermi-level density of states 0.843 states/eV per atom. Number 16: Fermi-level density of states 1.224 states/eV per atom. Number 17: Fermi-level density of states 0.551 states/eV per atom. Number 18: Fermi-level density of states 0.435 states/eV per atom. Number 19: Fermi-level density of states 0.465 states/eV per atom. Number 20: Fermi-level density of states 0.546 states/eV per atom. Number 21: Fermi-level density of states 1.140 states/eV per atom. Number 22: Fermi-level density of states 0.392 states/eV per atom. Number 23: Fermi-level density of states 0.920 states/eV per atom.